1.
First-principles (meta-GGA SCAN) data for a crystal of TlSiSe relaxed with PBEsol, as listed in the Alexandria database.

Electronic total energy   -102.29 eV/f.u.
Mass density   7.3 Mg/m³
E_form (uncorrected)   0.16 eV/f.u.
Symmetry   P3m1
Polymorph energy (0 for the lowest one)   0 meV per atom

Unit cell a=3.427 b=3.427 c=6.918 alpha=90.00 beta=90.00 gamma=120.00
Element x y z (fractional)
Tl1 0.667 0.333 0.351
Si1 0.333 0.667 0.719
Se1 0.000 0.000 0.930

2.
First-principles (meta-GGA SCAN) data for a crystal of TaOsPb3 relaxed with PBEsol, as listed in the Alexandria database.

Electronic total energy   -358.46 eV/f.u.
Energy of formation   1470 meV per atom
Mass density   11.9 Mg/m³
Symmetry   Pm-3m

Unit cell a=5.176 b=5.176 c=5.176 alpha=90.00 beta=90.00 gamma=90.00
Last column: magnetic moment on the atom in μB.
Element x y z (fractional)
Os1 0.000 0.000 0.000  0.34
Ta1 0.500 0.500 0.500  2.10
Pb1 0.000 0.000 0.500  0.01
Pb2 0.500 0.000 0.000  0.01
Pb3 0.000 0.500 0.000  0.01